Below is a relaxed Dy4Ho2Sc3 crystal, with properties calculated at the GGA-PBE level.

CIF file:
```
data_Dy4Ho2Sc3
_cell_length_a 9.550
_cell_length_b 9.550
_cell_length_c 6.020
_cell_angle_alpha 94.01
_cell_angle_beta 94.01
_cell_angle_gamma 72.25
_symmetry_space_group_name_H-M 'P 1'
_symmetry_Int_Tables_number 1
_symmetry_space_group_name_Hall 'P 1'
loop_
_atom_site_label
_atom_site_fract_x
_atom_site_fract_y
_atom_site_fract_z
Dy1 0.093 0.809 0.990
Dy2 0.143 0.426 0.157
Dy3 0.191 0.907 0.510
Dy4 0.426 0.143 0.657
Dy5 0.574 0.857 0.343
Dy6 0.809 0.093 0.490
Dy7 0.857 0.574 0.843
Dy8 0.907 0.191 0.010
Ho1 0.241 0.523 0.676
Ho2 0.477 0.759 0.824
Ho3 0.523 0.241 0.176
Ho4 0.759 0.477 0.324
Sc1 0.067 0.266 0.583
Sc2 0.266 0.067 0.083
Sc3 0.401 0.599 0.250
Sc4 0.599 0.401 0.750
Sc5 0.734 0.933 0.917
Sc6 0.933 0.734 0.417
```

Output
Energy relative to the lowest polymorph listed for this composition (meV/atom): 52
M_tot (μB per cell): 0.000
DOS at the Fermi energy (states/eV/atom): 1.41
Space group: C2/c (15)
Calculated formation energy (eV per atom): 0.1098
V (Å³/atom): 28.94

***

Below is a relaxed CrCuN2 crystal, with properties calculated at the GGA-PBE level.

CIF file:
```
data_CrCuN2
_cell_length_a 3.650
_cell_length_b 3.650
_cell_length_c 3.650
_cell_angle_alpha 60.00
_cell_angle_beta 60.00
_cell_angle_gamma 60.00
_symmetry_space_group_name_H-M 'P 1'
_symmetry_Int_Tables_number 1
_symmetry_space_group_name_Hall 'P 1'
loop_
_atom_site_label
_atom_site_fract_x
_atom_site_fract_y
_atom_site_fract_z
Cr1 0.000 0.000 0.000
Cu1 0.500 0.500 0.500
N1 0.250 0.250 0.250
N2 0.750 0.750 0.750
```

Output
Energy relative to the lowest polymorph listed for this composition (meV/atom): 940
M_tot (μB per cell): 1.516
DOS at the Fermi energy (states/eV/atom): 1.33
Space group: Fm-3m (225)
V (Å³/atom): 8.60

***

Below is a relaxed KTmSb2 crystal, with properties calculated at the GGA-PBE level.

CIF file:
```
data_KTmSb2
_cell_length_a 9.860
_cell_length_b 9.860
_cell_length_c 9.860
_cell_angle_alpha 23.25
_cell_angle_beta 23.25
_cell_angle_gamma 23.25
_symmetry_space_group_name_H-M 'P 1'
_symmetry_Int_Tables_number 1
_symmetry_space_group_name_Hall 'P 1'
loop_
_atom_site_label
_atom_site_fract_x
_atom_site_fract_y
_atom_site_fract_z
K1 0.000 0.000 0.000
Tm1 0.500 0.500 0.500
Sb1 0.240 0.240 0.240
Sb2 0.760 0.760 0.760
```

Output
Energy relative to the lowest polymorph listed for this composition (meV/atom): 105
M_tot (μB per cell): 0.000
DOS at the Fermi energy (states/eV/atom): 0.63
Space group: R-3m (166)
V (Å³/atom): 32.77

***

Below is a relaxed Pr3Ru2 crystal, with properties calculated at the GGA-PBE level.

CIF file:
```
data_Pr3Ru2
_cell_length_a 7.920
_cell_length_b 7.920
_cell_length_c 10.576
_cell_angle_alpha 91.11
_cell_angle_beta 91.11
_cell_angle_gamma 36.38
_symmetry_space_group_name_H-M 'P 1'
_symmetry_Int_Tables_number 1
_symmetry_space_group_name_Hall 'P 1'
loop_
_atom_site_label
_atom_site_fract_x
_atom_site_fract_y
_atom_site_fract_z
Pr1 0.000 0.000 0.000
Pr2 0.002 0.002 0.334
Pr3 0.330 0.330 0.677
Pr4 0.333 0.333 0.011
Pr5 0.338 0.338 0.343
Pr6 0.662 0.662 0.657
Pr7 0.667 0.667 0.989
Pr8 0.670 0.670 0.323
Pr9 0.998 0.998 0.666
Ru1 0.166 0.166 0.498
Ru2 0.169 0.169 0.162
Ru3 0.500 0.500 0.168
Ru4 0.500 0.500 0.832
Ru5 0.831 0.831 0.838
Ru6 0.834 0.834 0.502
```

Output
Energy relative to the lowest polymorph listed for this composition (meV/atom): 0
M_tot (μB per cell): 0.000
DOS at the Fermi energy (states/eV/atom): 0.77
Space group: C2/m (12)
Calculated formation energy (eV per atom): -0.0582
V (Å³/atom): 26.23

***

Below is a relaxed NaYTlCd crystal, with properties calculated at the GGA-PBE level.

CIF file:
```
data_NaYTlCd
_cell_length_a 5.273
_cell_length_b 5.273
_cell_length_c 5.273
_cell_angle_alpha 60.00
_cell_angle_beta 60.00
_cell_angle_gamma 60.00
_symmetry_space_group_name_H-M 'P 1'
_symmetry_Int_Tables_number 1
_symmetry_space_group_name_Hall 'P 1'
loop_
_atom_site_label
_atom_site_fract_x
_atom_site_fract_y
_atom_site_fract_z
Na1 0.000 0.000 0.000
Y1 0.500 0.500 0.500
Tl1 0.750 0.750 0.750
Cd1 0.250 0.250 0.250
```

Output
Energy relative to the lowest polymorph listed for this composition (meV/atom): 36
M_tot (μB per cell): 0.000
DOS at the Fermi energy (states/eV/atom): 0.57
Space group: F-43m (216)
Calculated formation energy (eV per atom): -0.2120
V (Å³/atom): 25.92

***

Below is a relaxed LiHfN2O crystal, with properties calculated at the GGA-PBE level.

CIF file:
```
data_LiHfN2O
_cell_length_a 3.471
_cell_length_b 3.471
_cell_length_c 3.665
_cell_angle_alpha 90.00
_cell_angle_beta 90.00
_cell_angle_gamma 90.00
_symmetry_space_group_name_H-M 'P 1'
_symmetry_Int_Tables_number 1
_symmetry_space_group_name_Hall 'P 1'
loop_
_atom_site_label
_atom_site_fract_x
_atom_site_fract_y
_atom_site_fract_z
Li1 0.000 0.000 0.000
Hf1 0.500 0.500 0.500
N1 0.000 0.500 0.000
N2 0.500 0.000 0.000
O1 0.000 0.000 0.500
```

Output
Energy (eV for the cell shown): -33.9
M_tot (μB per cell): 0.000
DOS at the Fermi energy (states/eV/atom): 0.66
Space group: P4/mmm (123)
V (Å³/atom): 8.83

***

Below is a relaxed KCuNi3 crystal, with properties calculated at the GGA-PBE level.

CIF file:
```
data_KCuNi3
_cell_length_a 4.434
_cell_length_b 4.434
_cell_length_c 4.434
_cell_angle_alpha 90.00
_cell_angle_beta 90.00
_cell_angle_gamma 90.00
_symmetry_space_group_name_H-M 'P 1'
_symmetry_Int_Tables_number 1
_symmetry_space_group_name_Hall 'P 1'
loop_
_atom_site_label
_atom_site_fract_x
_atom_site_fract_y
_atom_site_fract_z
K1 0.000 0.000 0.000
Cu1 0.500 0.500 0.500
Ni1 0.000 0.000 0.500
Ni2 0.000 0.500 0.000
Ni3 0.500 0.000 0.000
```

Output
Energy relative to the lowest polymorph listed for this composition (meV/atom): 1217
M_tot (μB per cell): 0.000
DOS at the Fermi energy (states/eV/atom): 0.72
Space group: Pm-3m (221)
Calculated formation energy (eV per atom): 2.1611
V (Å³/atom): 17.44

***

Below is a relaxed Mg2CrC2 crystal, with properties calculated at the GGA-PBE level.

CIF file:
```
data_Mg2CrC2
_cell_length_a 5.631
_cell_length_b 5.631
_cell_length_c 3.381
_cell_angle_alpha 90.00
_cell_angle_beta 90.00
_cell_angle_gamma 90.00
_symmetry_space_group_name_H-M 'P 1'
_symmetry_Int_Tables_number 1
_symmetry_space_group_name_Hall 'P 1'
loop_
_atom_site_label
_atom_site_fract_x
_atom_site_fract_y
_atom_site_fract_z
Mg1 0.160 0.340 0.000
Mg2 0.340 0.840 0.000
Mg3 0.660 0.160 0.000
Mg4 0.840 0.660 0.000
Cr1 0.000 0.000 0.500
Cr2 0.500 0.500 0.500
C1 0.162 0.662 0.500
C2 0.338 0.162 0.500
C3 0.662 0.838 0.500
C4 0.838 0.338 0.500
```

Output
Energy relative to the lowest polymorph listed for this composition (meV/atom): 0
M_tot (μB per cell): 0.000
DOS at the Fermi energy (states/eV/atom): 0.40
Space group: P4/mbm (127)
Calculated formation energy (eV per atom): 0.5708
V (Å³/atom): 10.72

***

What is the V in the fifth record? 25.92 Å³/atom